Record 1
The following is a DFT calculation (GGA-PBE) of a relaxed KZr2Cl crystal.

Cell lengths 5.555, 5.555, 3.291 Å; angles 90.00, 90.00, 90.00 degrees
Fractional positions:
K: 0.000 0.500 0.500
Zr: 0.000 0.000 0.000
Zr: 0.500 0.500 0.000
Cl: 0.500 0.000 0.500

electronic total energy = -4.051 eV/atom
N(E_F) = 1.392 states/eV per atom
energy above the most stable polymorph in this dataset = 1.426 eV per atom
total magnetization = 0.0 μB/cell
raw formation energy = 3.84 eV per formula unit

---

Record 2
The following is a DFT calculation (GGA-PBE) of a relaxed KZrCl2 crystal.

Cell lengths 3.368, 3.492, 8.082 Å; angles 90.00, 90.00, 90.00 degrees
Fractional positions:
K: 0.500 0.250 0.250
Zr: 0.500 0.750 0.750
Cl: 0.000 0.750 0.008
Cl: 0.000 0.750 0.492

electronic total energy = -4.453 eV/atom
N(E_F) = 0.388 states/eV per atom
energy above the most stable polymorph in this dataset = 0.000 eV per atom
total magnetization = 0.0 μB/cell
raw formation energy = -4.47 eV per formula unit

---

Record 3
The following is a DFT calculation (GGA-PBE) of a relaxed KZr2Cl crystal.

Cell lengths 3.270, 3.270, 9.803 Å; angles 90.00, 90.00, 90.00 degrees
Fractional positions:
K: 0.500 0.500 0.702
Zr: 0.000 0.000 0.054
Zr: 0.500 0.500 0.263
Cl: 0.000 0.000 0.482

electronic total energy = -5.401 eV/atom
N(E_F) = 0.192 states/eV per atom
energy above the most stable polymorph in this dataset = 0.076 eV per atom
total magnetization = 0.0 μB/cell
raw formation energy = -1.56 eV per formula unit

---

Record 4
The following is a DFT calculation (GGA-PBE) of a relaxed KZr2Cl crystal.

Cell lengths 6.756, 6.756, 6.756 Å; angles 152.72, 116.00, 70.91 degrees
Fractional positions:
K: 0.293 0.793 0.500
Zr: 0.945 0.945 0.000
Zr: 0.726 0.226 0.500
Cl: 0.536 0.536 0.000

electronic total energy = -4.889 eV/atom
N(E_F) = 0.163 states/eV per atom
energy above the most stable polymorph in this dataset = 0.588 eV per atom
total magnetization = 0.0 μB/cell
raw formation energy = 0.48 eV per formula unit

---

Record 5
The following is a DFT calculation (GGA-PBE) of a relaxed KZrCl crystal.

Cell lengths 4.924, 4.924, 4.924 Å; angles 60.00, 60.00, 60.00 degrees
Each line ends with the local moment (μB).
Fractional positions:
K: 0.000 0.000 0.000  0.05
Zr: 0.500 0.500 0.500  1.29
Cl: 0.750 0.750 0.750  -0.03

electronic total energy = -3.467 eV/atom
N(E_F) = 0.047 states/eV per atom
energy above the most stable polymorph in this dataset = 0.831 eV per atom
total magnetization = 2.0 μB/cell
raw formation energy = 1.09 eV per formula unit

---

Record 6
The following is a DFT calculation (GGA-PBE) of a relaxed KZrCl2 crystal.

Cell lengths 5.143, 5.143, 5.143 Å; angles 60.00, 60.00, 60.00 degrees
Each line ends with the local moment (μB).
Fractional positions:
K: 0.000 0.000 0.000  0.05
Zr: 0.500 0.500 0.500  1.81
Cl: 0.250 0.250 0.250  -0.02
Cl: 0.750 0.750 0.750  -0.02

electronic total energy = -3.907 eV/atom
N(E_F) = 0.680 states/eV per atom
energy above the most stable polymorph in this dataset = 0.546 eV per atom
total magnetization = 3.0 μB/cell
raw formation energy = -2.29 eV per formula unit

---

Record 7
The following is a DFT calculation (GGA-PBE) of a relaxed KZrCl14 crystal.

Cell lengths 8.602, 7.779, 9.635 Å; angles 100.50, 97.87, 111.43 degrees
Each line ends with the local moment (μB).
Fractional positions:
K: 0.321 0.596 0.942  0.00
Zr: 0.703 0.323 0.090  -0.01
Cl: 0.404 0.545 0.592  0.01
Cl: 0.096 0.135 0.538  0.00
Cl: 0.725 0.589 0.957  0.34
Cl: 0.040 0.674 0.708  0.00
Cl: 0.390 0.263 0.058  0.00
Cl: 0.344 0.050 0.387  0.00
Cl: 0.603 0.798 0.622  0.05
Cl: 0.645 0.001 0.104  0.01
Cl: 0.923 0.182 0.649  0.01
Cl: 0.011 0.399 0.097  0.00
Cl: 0.189 0.926 0.859  0.00
Cl: 0.203 0.779 0.266  0.00
Cl: 0.646 0.228 0.804  0.38
Cl: 0.758 0.511 0.327  0.01

electronic total energy = -2.984 eV/atom
total magnetization = 1.0 μB/cell
raw formation energy = -12.24 eV per formula unit

---

Record 8
The following is a DFT calculation (GGA-PBE) of a relaxed KZr2Cl2 crystal.

Cell lengths 9.794, 9.794, 3.234 Å; angles 90.00, 90.00, 90.00 degrees
Fractional positions:
K: 0.000 0.000 0.000
K: 0.500 0.500 0.000
Zr: 0.399 0.899 0.000
Zr: 0.899 0.601 0.000
Zr: 0.601 0.101 0.000
Zr: 0.101 0.399 0.000
Cl: 0.126 0.626 0.500
Cl: 0.626 0.874 0.500
Cl: 0.874 0.374 0.500
Cl: 0.374 0.126 0.500

electronic total energy = -4.363 eV/atom
N(E_F) = 1.084 states/eV per atom
energy above the most stable polymorph in this dataset = 0.229 eV per atom
total magnetization = 0.0 μB/cell
raw formation energy = 0.07 eV per formula unit